Computed, not measured: a relaxed structure of KBe2Tl at the PBE level of DFT.

Unit cell a=4.2476 b=4.3945 c=5.8940 alpha=90.00 beta=90.17 gamma=90.00
With the nearest neighbours (Å) after each atom.
Sites, in units of the cell vectors:
K 0.0000 0.0000 0.0000  4 Tl 3.63-3.64, 8 Be 3.82-3.83
Be 0.2486 0.5000 0.5005  2 Be 2.11-2.14
Be 0.7514 0.5000 0.4995  2 Be 2.11-2.14
Tl 0.5000 0.0000 0.5000  4 Be 2.44

Calculated values
The formation energy comes out at 0.49 eV/atom. The density of states at the Fermi level comes out at 0.288 states/eV per atom. The energy relative to the lowest polymorph listed for this composition is 92.3 meV/atom. As for the space-group type: P2/m. As for the total magnetic moment: 0.00 μB/f.u.



Computed, not measured: a relaxed structure of In5AgPd8 at the PBE level of DFT.

Unit cell a=6.9427 b=6.9427 c=6.9427 alpha=109.91 beta=109.91 gamma=108.60
With the nearest neighbours (Å) after each atom.
Sites, in units of the cell vectors:
In 0.0000 0.0000 0.0000  8 Pd 2.68-2.78
In 0.2708 0.6284 0.1049  8 Pd 2.74-2.84
In 0.3716 0.4765 0.6425  8 Pd 2.74-2.84
In 0.5235 0.1660 0.8951  8 Pd 2.74-2.84
In 0.8340 0.7292 0.3575  8 Pd 2.74-2.84
Ag 0.7500 0.2500 0.5000  8 Pd 2.74-3.01
Pd 0.0009 0.4073 0.2591  5 In 2.76-2.84, 2 Pd 2.91-2.95, 1 Ag 3.01
Pd 0.1035 0.1815 0.7405  5 In 2.68-2.80, 1 Ag 2.74, 1 Pd 2.95
Pd 0.1482 0.7418 0.7409  5 In 2.76-2.84, 2 Pd 2.91-2.95, 1 Ag 3.01
Pd 0.2582 0.9991 0.4064  5 In 2.76-2.84, 2 Pd 2.91-2.95, 1 Ag 3.01
Pd 0.4410 0.3630 0.2595  5 In 2.68-2.80, 1 Ag 2.74, 1 Pd 2.95
Pd 0.5927 0.8518 0.5936  5 In 2.76-2.84, 2 Pd 2.91-2.95, 1 Ag 3.01
Pd 0.6370 0.8965 0.0780  5 In 2.68-2.80, 1 Ag 2.74, 1 Pd 2.95
Pd 0.8185 0.5590 0.9220  5 In 2.68-2.80, 1 Ag 2.74, 1 Pd 2.95

Calculated values
The formation energy comes out at -0.35 eV/atom. The density of states at the Fermi level comes out at 0.519 states/eV per atom. As for the space-group type: I-4. As for the total magnetic moment: 0.00 μB/f.u.